18
Lattice="-3.7717 4.0138 5.4941 3.7717 -4.0138 5.4941 3.7717 4.0138 -5.4941" Properties=species:S:1:pos:R:3 comment="CsTmCoF6 PBE+U relaxed" final_energy_ha_per_atom=-0.20200 pbc="T T T"
Cs 0.0000 2.0069 0.8994
Cs 3.7717 2.0069 4.5947
Tm 3.7717 0.0000 0.0000
Tm 0.0000 0.0000 5.4941
Co 1.8859 2.0069 -2.7470
Co 1.8859 -2.0069 2.7470
F 3.7717 -2.0069 3.3089
F 2.1877 -0.5355 1.3202
F 5.3557 -0.5355 1.3202
F 2.1877 3.4783 -1.3202
F 1.5840 -0.5355 4.1739
F 3.7717 2.0069 0.8407
F 0.0000 2.0069 4.6534
F 2.1877 4.5494 1.3202
F 1.5840 0.5355 6.8143
F -1.5840 4.5494 4.1739
F 1.5840 4.5494 4.1739
F 0.0000 6.0208 2.1852